Record 1
Here is crystalline LaFe2P2 at its relaxed geometry from Alexandria via LeMat-Bulk. Energies are from PBE.

The structure belongs to space group P6_3/mmc (No. 194); the cell edges are 3.8632, 3.8632 and 12.4726 Å and the angles 90.00°, 90.00° and 120.00°. The distinct sites, in fractional coordinates, are La at (0.3333, 0.6667, 0.2500), Fe at (0.3333, 0.6667, 0.5369) and P at (0.0000, 0.0000, 0.0961).

As for the formation energy from the elements: -60 kJ/mol of atoms.

***

Record 2
Here is crystalline SmScAl2Au4 at its relaxed geometry from Alexandria via LeMat-Bulk. Energies are from PBE.

The structure belongs to space group R-3m (No. 166, hexagonal axes); the cell edges are 4.6061, 4.6061 and 25.5841 Å and the angles 90.00°, 90.00° and 120.00°. The distinct sites, in fractional coordinates, are Sm at (0.0000, 0.0000, 0.0000), Sc at (0.0000, 0.0000, 0.5000), Al at (0.0000, 0.0000, 0.2418), Au at (0.0000, 0.0000, 0.1270) and Au at (0.0000, 0.0000, 0.3918).

As for the formation energy from the elements: -67 kJ/mol of atoms.

***

Record 3
Here is crystalline Re2RuI4 at its relaxed geometry from Alexandria via LeMat-Bulk. Energies are from PBE.

The structure belongs to space group I4/mmm (No. 139); the cell edges are 5.529, 5.529 and 13.176 Å and the angles 90.00°, 90.00° and 90.00°. The distinct sites, in fractional coordinates, are Re at (0.000, 0.000, 0.085), Ru at (0.000, 0.000, 0.500), I at (0.000, 0.000, 0.294) and I at (0.000, 0.500, 0.000).

Its formation energy from raw total energies is 1.179 eV/atom.

***

Record 4
Here is crystalline Pb4SeBr6 at its relaxed geometry from Alexandria via LeMat-Bulk. Energies are from PBE.

The structure belongs to space group Cm (No. 8); the cell edges are 18.741, 4.412 and 10.155 Å and the angles 90.00°, 120.42° and 90.00°. The distinct sites, in fractional coordinates, are Pb at (0.000, 0.000, 0.000), Pb at (0.006, 0.500, 0.477), Pb at (0.260, 0.000, 0.009), Pb at (0.275, 0.500, 0.473), Se at (0.303, 0.000, 0.325), Br at (0.084, 0.500, 0.245), Br at (0.138, 0.500, 0.934), Br at (0.141, 0.000, 0.592), Br at (0.375, 0.000, 0.832), Br at (0.406, 0.500, 0.172) and Br at (0.464, 0.500, 0.647).

For the polymorph energy (0 for the lowest one), the calculation gives 0 meV per atom. Its formation energy from raw total energies is -0.808 eV/atom.

***

Record 5
Here is crystalline BeHgPt3 at its relaxed geometry from Alexandria via LeMat-Bulk. Energies are from PBE.

The structure belongs to space group P6_3/mmc (No. 194); the cell edges are 3.6564, 3.6564 and 15.6660 Å and the angles 90.00°, 90.00° and 120.00°. The distinct sites, in fractional coordinates, are Be at (0.3333, 0.6667, 0.2500), Hg at (0.0000, 0.0000, 0.0000), Pt at (0.0000, 0.0000, 0.2500) and Pt at (0.3333, 0.6667, 0.1148).

For the polymorph energy (0 for the lowest one), the calculation gives 538 meV per atom. As for the formation energy from the elements: 23 kJ/mol of atoms.

***

Record 6
Here is crystalline LiTaMo at its relaxed geometry from Alexandria via LeMat-Bulk. Energies are from PBE.

The structure belongs to space group Imm2 (No. 44); the cell edges are 2.584, 4.454 and 8.481 Å and the angles 90.00°, 90.00° and 90.00°. The distinct sites, in fractional coordinates, are Li at (0.000, 0.000, 0.000), Ta at (0.000, 0.000, 0.329) and Mo at (0.000, 0.000, 0.668).

For the polymorph energy (0 for the lowest one), the calculation gives 82 meV per atom. As for the formation energy from the elements: 34 kJ/mol of atoms.

***

no.,raw total energy (eV/atom)
1,-7.159
2,-4.655
3,-4.589
4,-3.386
5,-4.196
6,-7.844